# 1
Na2CeNi3F12: optimized geometry, PBE with a Hubbard U.

Output
Size of the total moment ... 6.14 μB per formula unit
ρ ... 4.00 g/cm3
Total DFT energy (no corrections) ... -4.81 eV/atom
Space-group type ... R-3m, No. 166

```
Na2CeNi3F12
1.0
6.789 -0.262 -0.186
3.125 6.033 -0.186
3.125 1.819 5.755
F Ni Na Ce
12 3 2 1
Direct
0.858 0.858 0.403
0.260 0.260 0.881
0.119 0.740 0.740
0.142 0.597 0.142
0.740 0.740 0.119
0.740 0.119 0.740
0.858 0.403 0.858
0.142 0.142 0.597
0.597 0.142 0.142
0.881 0.260 0.260
0.403 0.858 0.858
0.260 0.881 0.260
0.000 0.000 0.500
0.000 0.500 0.000
0.500 0.000 0.000
0.630 0.630 0.630
0.370 0.370 0.370
0.000 0.000 0.000
```

# 2
NaCeNiF6: optimized geometry, PBE with a Hubbard U.

Output
Size of the total moment ... 1.00 μB per formula unit
ρ ... 4.13 g/cm3
Total DFT energy (no corrections) ... -5.38 eV/atom
Space-group type ... P-31c, No. 163

```
NaCeNiF6
1.0
5.808 0.000 0.000
-2.904 5.030 0.000
0.000 0.000 9.235
F Ce Na Ni
12 2 2 2
Direct
0.370 0.332 0.368
0.668 0.630 0.132
0.963 0.630 0.368
0.668 0.037 0.368
0.037 0.370 0.632
0.332 0.963 0.632
0.037 0.668 0.868
0.630 0.963 0.868
0.963 0.332 0.132
0.332 0.370 0.868
0.370 0.037 0.132
0.630 0.668 0.632
0.333 0.667 0.250
0.667 0.333 0.750
0.000 0.000 0.000
0.000 0.000 0.500
0.333 0.667 0.750
0.667 0.333 0.250
```